VASP calculation (PBE-GGA) on a relaxed structure of Li2Cd2H.

Computed properties:
Distance to the lowest polymorph of the same formula in eV/f.u.: 1.46
Crystal system: tetragonal
DOS(E_F) in states/eV/atom: 0.25

Cell lengths 7.7703, 7.7703, 7.7703 Å; angles 154.22, 154.22, 36.79 degrees
Last column: nearest neighbours and their distance in Å.
Fractional coordinates of all 5 atoms:
Li  0.2500  0.7500  0.5000  4 Li 2.45
Li  0.7500  0.2500  0.5000  4 Li 2.45
Cd  0.0974  0.0974  0.0000  4 H 2.84, 4 Li 2.84, 1 Cd 2.87
Cd  0.9026  0.9026  0.0000  4 H 2.84, 4 Li 2.84, 1 Cd 2.87
H  0.5000  0.5000  0.0000  8 Cd 2.84